Record 1
ZrCo6Si2: optimized geometry, PBE.

Cell: 7.1645 7.1645 7.1645 Å, 60.00 60.00 60.00°
Site moments in Bohr magnetons follow the coordinates.
Element x y z (fractional)
1 Zr 0.5000 0.5000 0.5000  -0.17
2 Zr 0.7500 0.7500 0.7500  -0.17
3 Co 0.2551 0.2551 0.7449  0.51
4 Co 0.7449 0.7449 0.2551  0.51
5 Co 0.2551 0.7449 0.2551  0.51
6 Co 0.2551 0.7449 0.7449  0.51
7 Co 0.5051 0.5051 0.9949  0.51
8 Co 0.5051 0.9949 0.9949  0.51
9 Co 0.7449 0.2551 0.7449  0.51
10 Co 0.9949 0.9949 0.5051  0.51
11 Co 0.5051 0.9949 0.5051  0.51
12 Co 0.9949 0.5051 0.5051  0.51
13 Co 0.7449 0.2551 0.2551  0.51
14 Co 0.9949 0.5051 0.9949  0.51
15 Si 0.1250 0.1250 0.1250  -0.03
16 Si 0.1250 0.6250 0.1250  -0.03
17 Si 0.1250 0.1250 0.6250  -0.03
18 Si 0.6250 0.1250 0.1250  -0.03

Calculated values
* crystal system: cubic
* ΔE_f (raw): 0.34 eV/atom

***

Record 2
Zr4Co7Si6: optimized geometry, PBE.

Cell: 6.7112 6.7112 6.7112 Å, 109.47 109.47 109.47°
Element x y z (fractional)
1 Zr 0.5000 0.0000 0.0000
2 Zr 0.5000 0.5000 0.5000
3 Zr 0.0000 0.5000 0.0000
4 Zr 0.0000 0.0000 0.5000
5 Co 0.7500 0.5000 0.2500
6 Co 0.2500 0.7500 0.5000
7 Co 0.5000 0.7500 0.2500
8 Co 0.7500 0.2500 0.5000
9 Co 0.2500 0.5000 0.7500
10 Co 0.5000 0.2500 0.7500
11 Co 0.0000 0.0000 0.0000
12 Si 0.6741 0.0000 0.6741
13 Si 0.6741 0.6741 0.0000
14 Si 0.0000 0.3259 0.3259
15 Si 0.3259 0.0000 0.3259
16 Si 0.3259 0.3259 0.0000
17 Si 0.0000 0.6741 0.6741

Calculated values
* crystal system: cubic
* ΔE_f (raw): -0.78 eV/atom

***

Record 3
ZrCo2Si: optimized geometry, PBE.

Cell: 3.2818 3.2484 5.2708 Å, 90.00 90.00 90.00°
Element x y z (fractional)
1 Co 0.0000 0.0000 0.9937
2 Co 0.5000 0.5000 0.2960
3 Si 0.0000 0.0000 0.4323
4 Zr 0.5000 0.5000 0.7780

Calculated values
* crystal system: orthorhombic
* ΔE_f (raw): -0.25 eV/atom